No. 1
The following is a PBE-GGA calculation of a geometry-optimized PmTmIn4 structure, from Alexandria via LeMat-Bulk.

Values from the calculation:
ΔE to the lowest computed polymorph   46.0 meV per atom
DFT formation energy   -0.3327 eV/atom

POSCAR file:
```
PmTmIn4
1.0
0.000 4.255 4.255
4.255 0.000 4.255
4.255 4.255 0.000
Pm Tm In
1 1 4
Direct
0.000 0.000 0.000 Pm
0.750 0.750 0.750 Tm
0.375 0.375 0.375 In
0.375 0.375 0.875 In
0.375 0.875 0.375 In
0.875 0.375 0.375 In
```

***

No. 2
The following is a PBE-GGA calculation of a geometry-optimized VP structure, from Alexandria via LeMat-Bulk.

Values from the calculation:
DFT formation energy   -0.4268 eV/atom

POSCAR file:
```
VP
1.0
3.334 0.000 0.000
-1.667 2.887 0.000
0.000 0.000 5.807
V P
2 2
Direct
0.333 0.667 0.250 V
0.667 0.333 0.750 V
0.000 0.000 0.000 P
0.000 0.000 0.500 P
```

***

No. 3
The following is a PBE-GGA calculation of a geometry-optimized BaCaZn4 structure, from Alexandria via LeMat-Bulk.

Values from the calculation:
ΔE to the lowest computed polymorph   0.0 meV per atom
DFT formation energy   -0.2073 eV/atom

POSCAR file:
```
BaCaZn4
1.0
-2.249 3.988 4.281
2.249 -3.988 4.281
2.249 3.988 -4.281
Ba Ca Zn
1 1 4
Direct
0.000 0.000 0.000 Ba
0.500 0.500 0.000 Ca
0.098 0.763 0.335 Zn
0.428 0.763 0.665 Zn
0.572 0.237 0.335 Zn
0.902 0.237 0.665 Zn
```

***

No. 4
The following is a PBE-GGA calculation of a geometry-optimized TeIrAu2 structure, from Alexandria via LeMat-Bulk.

Values from the calculation:
Energy relative to the elements, uncorrected   0.59 eV/f.u.

POSCAR file:
```
TeIrAu2
1.0
3.871 0.000 0.000
-1.936 3.353 0.000
0.000 0.000 7.120
Te Ir Au
1 1 2
Direct
0.000 0.000 0.000 Te
0.667 0.333 0.824 Ir
0.000 0.000 0.375 Au
0.333 0.667 0.604 Au
```

***

No. 5
The following is a PBE-GGA calculation of a geometry-optimized YCd5 structure, from Alexandria via LeMat-Bulk.

Values from the calculation:
DFT formation energy   -0.1432 eV/atom

POSCAR file:
```
YCd5
1.0
3.915 0.000 0.000
-1.938 5.792 0.000
-0.004 -2.138 6.329
Y Cd
1 5
Direct
0.000 0.000 0.000 Y
0.000 0.000 0.500 Cd
0.323 0.648 0.660 Cd
0.331 0.661 0.173 Cd
0.669 0.339 0.827 Cd
0.677 0.352 0.340 Cd
```

***

No. 6
The following is a PBE-GGA calculation of a geometry-optimized CeU2Tl2S6 structure, from Alexandria via LeMat-Bulk.

Values from the calculation:
Energy relative to the elements, uncorrected   -14.04 eV/f.u.

POSCAR file:
```
CeU2Tl2S6
1.0
3.508 -6.102 0.000
3.508 6.102 0.000
-2.299 0.000 7.573
Ce U Tl S
1 2 2 6
Direct
0.000 0.000 0.000 Ce
0.334 0.666 0.000 U
0.666 0.334 0.000 U
0.166 0.834 0.500 Tl
0.834 0.166 0.500 Tl
0.061 0.407 0.194 S
0.279 0.279 0.805 S
0.407 0.061 0.194 S
0.593 0.939 0.806 S
0.721 0.721 0.195 S
0.939 0.593 0.806 S
```

***

No. 7
The following is a PBE-GGA calculation of a geometry-optimized HoZrIn3 structure, from Alexandria via LeMat-Bulk.

Values from the calculation:
DFT formation energy   -0.0419 eV/atom

POSCAR file:
```
HoZrIn3
1.0
-2.159 2.159 7.143
2.159 -2.159 7.143
2.159 2.159 -7.143
Ho Zr In
1 1 3
Direct
0.000 0.000 0.000 Ho
0.633 0.633 0.000 Zr
0.279 0.779 0.500 In
0.434 0.434 0.000 In
0.779 0.279 0.500 In
```

***

No. 8
The following is a PBE-GGA calculation of a geometry-optimized Sm2DyF structure, from Alexandria via LeMat-Bulk.

Values from the calculation:
Energy relative to the elements, uncorrected   -4.56 eV/f.u.

POSCAR file:
```
Sm2DyF
1.0
1.874 1.082 8.594
-1.874 1.082 8.594
0.000 -2.164 8.594
Sm Dy F
2 1 1
Direct
0.223 0.223 0.223 Sm
0.777 0.777 0.777 Sm
0.000 0.000 0.000 Dy
0.500 0.500 0.500 F
```

***

No. 9
The following is a PBE-GGA calculation of a geometry-optimized Tb3Pr6Y2Tm structure, from Alexandria via LeMat-Bulk.

Values from the calculation:
DFT formation energy   0.0101 eV/atom

POSCAR file:
```
Tb3Pr6Y2Tm
1.0
3.159 -5.472 0.000
3.159 5.472 0.000
-2.101 0.000 11.722
Tb Pr Y Tm
3 6 2 1
Direct
0.000 0.000 0.000 Tb
0.333 0.667 0.000 Tb
0.667 0.333 0.000 Tb
0.084 0.417 0.250 Pr
0.251 0.251 0.750 Pr
0.417 0.084 0.250 Pr
0.583 0.916 0.750 Pr
0.749 0.749 0.250 Pr
0.916 0.583 0.750 Pr
0.167 0.833 0.500 Y
0.833 0.167 0.500 Y
0.500 0.500 0.500 Tm
```

***

No. 10
The following is a PBE-GGA calculation of a geometry-optimized AsO2 structure, from Alexandria via LeMat-Bulk.

Values from the calculation:
Energy relative to the elements, uncorrected   0.01 eV/f.u.

POSCAR file:
```
AsO2
1.0
-1.914 2.689 2.902
1.914 -2.689 2.902
1.914 2.689 -2.902
As O
1 2
Direct
0.000 0.000 0.000 As
0.292 0.292 0.000 O
0.708 0.708 0.000 O
```

***

No. 11
The following is a PBE-GGA calculation of a geometry-optimized BaZn3Au structure, from Alexandria via LeMat-Bulk.

Values from the calculation:
ΔE to the lowest computed polymorph   122.8 meV per atom
DFT formation energy   -0.2200 eV/atom

POSCAR file:
```
BaZn3Au
1.0
5.024 0.000 0.000
0.000 5.024 0.000
0.000 0.000 5.024
Ba Zn Au
1 3 1
Direct
0.000 0.000 0.000 Ba
0.000 0.500 0.500 Zn
0.500 0.000 0.500 Zn
0.500 0.500 0.000 Zn
0.500 0.500 0.500 Au
```

***

No. 12
The following is a PBE-GGA calculation of a geometry-optimized LiHoScIn structure, from Alexandria via LeMat-Bulk.

Values from the calculation:
DFT formation energy   -0.2494 eV/atom

POSCAR file:
```
LiHoScIn
1.0
0.000 3.614 3.614
3.614 0.000 3.614
3.614 3.614 0.000
Li Ho Sc In
1 1 1 1
Direct
0.000 0.000 0.000 Li
0.750 0.750 0.750 Ho
0.250 0.250 0.250 Sc
0.500 0.500 0.500 In
```

***

The records above give, respectively, spin magnetization values of 0.00 0.00 0.00 0.00 0.00 6.00 0.00 0.00 0.00 0.00 0.00 0.00 μB/cell.
The records above give, respectively, VASP energy values of -22.2 -30.8 -10.3 -18.0 -11.9 -72.1 -21.6 -20.5 -59.8 -14.6 -10.1 -16.6 eV for the cell shown.